Entry 1:
Below is a geometry-optimized Er2S3 structure, with properties calculated at the PBE level.

Summary:
The total moment is 0.0 μB per formula unit. The value obtained for the total energy is -6.36 eV per atom. As for the space group: P2_1/m, No. 11. The uncorrected formation energy comes out at -2063 meV/atom.

Cell: 10.9434 3.9090 11.2058 Å, 90.00 108.78 90.00°
Closest atoms and distances in Å follow each position.
Fractional positions:
Er1 0.0437 0.2500 0.1901  8 S 2.78-3.00
Er2 0.1606 0.2500 0.5836  6 S 2.64-2.76
Er3 0.3173 0.7500 0.9969  7 S 2.67-2.92
Er4 0.4323 0.2500 0.3316  6 S 2.65-2.75
Er5 0.5677 0.7500 0.6684  6 S 2.65-2.75
Er6 0.6827 0.2500 0.0031  7 S 2.67-2.92
Er7 0.8394 0.7500 0.4164  6 S 2.64-2.76
Er8 0.9563 0.7500 0.8099  8 S 2.78-3.00
S1 0.0818 0.7500 0.4016  5 Er 2.71-3.00
S2 0.1103 0.2500 0.9629  5 Er 2.78-2.92
S3 0.1908 0.7500 0.7495  4 Er 2.64-2.86
S4 0.2539 0.7500 0.2231  5 Er 2.75-2.95
S5 0.3981 0.2500 0.5636  4 Er 2.68-2.74
S6 0.4772 0.2500 0.1130  4 Er 2.65-2.89
S7 0.5228 0.7500 0.8870  4 Er 2.65-2.89
S8 0.6019 0.7500 0.4364  4 Er 2.68-2.74
S9 0.7461 0.2500 0.7769  5 Er 2.75-2.95
S10 0.8092 0.2500 0.2505  4 Er 2.64-2.86
S11 0.8897 0.7500 0.0371  5 Er 2.78-2.92
S12 0.9182 0.2500 0.5984  5 Er 2.71-3.00

=====

Entry 2:
Below is a geometry-optimized Er6S5 structure, with properties calculated at the PBE level.

Summary:
The total moment is 0.0 μB per formula unit. The value obtained for the total energy is -6.15 eV per atom. As for the space group: C2/m, No. 12. The uncorrected formation energy comes out at -1781 meV/atom. The density of states at the Fermi level comes out at 4.5 states/eV/f.u.

Cell: 6.6329 6.6329 6.6430 Å, 99.67 99.67 119.71°
Closest atoms and distances in Å follow each position.
Fractional positions:
Er1 0.0816 0.4167 0.2493  5 S 2.68-2.72
Er2 0.2502 0.2502 0.7441  5 S 2.68-2.72
Er3 0.4167 0.0816 0.2493  5 S 2.68-2.72
Er4 0.5833 0.9184 0.7507  5 S 2.68-2.72
Er5 0.7498 0.7498 0.2559  5 S 2.68-2.72
Er6 0.9184 0.5833 0.7507  5 S 2.68-2.72
S1 0.1697 0.8303 0.5000  6 Er 2.68-2.72
S2 0.3347 0.6653 0.0000  6 Er 2.71-2.72
S3 0.5000 0.5000 0.5000  6 Er 2.68-2.72
S4 0.6653 0.3347 0.0000  6 Er 2.71-2.72
S5 0.8303 0.1697 0.5000  6 Er 2.68-2.72

=====

Entry 3:
Below is a geometry-optimized Er8S3 structure, with properties calculated at the PBE level.

Summary:
The total moment is 0.0 μB per formula unit. The value obtained for the total energy is -5.40 eV per atom. As for the space group: C2/m, No. 12. The uncorrected formation energy comes out at -956 meV/atom. The density of states at the Fermi level comes out at 7.9 states/eV/f.u.

Cell: 6.8836 6.8836 11.8990 Å, 101.55 101.55 31.44°
Closest atoms and distances in Å follow each position.
Fractional positions:
Er1 0.0319 0.0319 0.3838  3 Er 3.05-3.30
Er2 0.1201 0.1201 0.9107  5 S 2.70-2.81
Er3 0.3104 0.3104 0.3958  1 S 3.07
Er4 0.3733 0.3733 0.7986  3 S 2.62-2.68
Er5 0.6267 0.6267 0.2014  3 S 2.62-2.68
Er6 0.6896 0.6896 0.6042  1 S 3.07
Er7 0.8799 0.8799 0.0893  5 S 2.70-2.81
Er8 0.9681 0.9681 0.6162  3 Er 3.05-3.30
S1 0.2458 0.2458 0.1323  5 Er 2.68-2.81
S2 0.5000 0.5000 0.0000  6 Er 2.62-2.80
S3 0.7542 0.7542 0.8677  5 Er 2.68-2.81

=====

Entry 4:
Below is a geometry-optimized ErS structure, with properties calculated at the PBE level.

Summary:
The total moment is 0.0 μB per formula unit. The value obtained for the total energy is -6.29 eV per atom. As for the space group: Fm-3m, No. 225. The uncorrected formation energy comes out at -1949 meV/atom. The density of states at the Fermi level comes out at 1.1 states/eV/f.u.

Cell: 3.8642 3.8642 3.8642 Å, 60.00 60.00 60.00°
Closest atoms and distances in Å follow each position.
Fractional positions:
Er1 0.0000 0.0000 0.0000  6 S 2.73
S1 0.5000 0.5000 0.5000  6 Er 2.73

=====

Entry 5:
Below is a geometry-optimized Er3S2 structure, with properties calculated at the PBE level.

Summary:
The total moment is 0.5 μB per formula unit. The value obtained for the total energy is -5.95 eV per atom. As for the space group: R-3m, No. 166. The uncorrected formation energy comes out at -1558 meV/atom. The density of states at the Fermi level comes out at 3.6 states/eV/f.u.

Cell: 9.7028 9.7028 9.7028 Å, 22.41 22.41 22.41°
Closest atoms and distances in Å follow each position.
Fractional positions:
Er1 0.0000 0.0000 0.0000  6 S 2.71
Er2 0.2157 0.2157 0.2157  3 S 2.77
Er3 0.7843 0.7843 0.7843  3 S 2.77
S1 0.3905 0.3905 0.3905  6 Er 2.71-2.77
S2 0.6095 0.6095 0.6095  6 Er 2.71-2.77

=====

Entry 6:
Below is a geometry-optimized Er5S8 structure, with properties calculated at the PBE level.

Summary:
The total moment is 0.0 μB per formula unit. The value obtained for the total energy is -6.18 eV per atom. As for the space group: C2/m, No. 12. The uncorrected formation energy comes out at -1885 meV/atom. The density of states at the Fermi level comes out at 9.0 states/eV/f.u.

Cell: 7.4784 7.4784 9.1696 Å, 124.69 124.69 64.13°
Closest atoms and distances in Å follow each position.
Fractional positions:
Er1 0.0000 0.0000 0.0000  6 S 2.72-2.74
Er2 0.2577 0.7423 0.5000  6 S 2.67-2.75
Er3 0.2839 0.2839 0.0042  6 S 2.62-2.80
Er4 0.7161 0.7161 0.9958  6 S 2.62-2.80
Er5 0.7423 0.2577 0.5000  6 S 2.67-2.75
S1 0.0074 0.0074 0.3061  4 Er 2.74-2.76
S2 0.0084 0.5594 0.8342  4 Er 2.69-2.80
S3 0.4406 0.9916 0.1658  4 Er 2.69-2.80
S4 0.4549 0.4549 0.6543  3 Er 2.62-2.67
S5 0.5451 0.5451 0.3457  3 Er 2.62-2.67
S6 0.5594 0.0084 0.8342  4 Er 2.69-2.80
S7 0.9916 0.4406 0.1658  4 Er 2.69-2.80
S8 0.9926 0.9926 0.6939  4 Er 2.74-2.76

=====

Entry 7:
Below is a geometry-optimized Er4S5 structure, with properties calculated at the PBE level.

Summary:
The total moment is 0.0 μB per formula unit. The value obtained for the total energy is -5.80 eV per atom. As for the space group: Immm, No. 71. The uncorrected formation energy comes out at -1479 meV/atom. The density of states at the Fermi level comes out at 5.3 states/eV/f.u.

Cell: 7.8673 7.8673 7.8673 Å, 153.99 117.65 68.73°
Closest atoms and distances in Å follow each position.
Fractional positions:
Er1 0.0805 0.8684 0.2121  7 S 2.72-3.01
Er2 0.3437 0.1316 0.2121  7 S 2.72-3.01
Er3 0.6563 0.8684 0.7879  7 S 2.72-3.01
Er4 0.9195 0.1316 0.7879  7 S 2.72-3.01
S1 0.0000 0.5000 0.5000  2 S 2.88, 8 Er 3.01
S2 0.2493 0.7493 0.5000  6 Er 2.81-2.91
S3 0.3534 0.5000 0.8534  1 S 2.39
S4 0.6466 0.5000 0.1466  1 S 2.39
S5 0.7507 0.2507 0.5000  6 Er 2.81-2.91

=====

Entry 8:
Below is a geometry-optimized Er2S3 structure, with properties calculated at the PBE level.

Summary:
The total moment is 0.0 μB per formula unit. The value obtained for the total energy is -6.33 eV per atom. As for the space group: I-42d, No. 122. The uncorrected formation energy comes out at -2032 meV/atom. The density of states at the Fermi level comes out at 0.0 states/eV/f.u.

Cell: 13.6694 13.6694 13.6694 Å, 144.81 144.81 50.62°
Closest atoms and distances in Å follow each position.
Fractional positions:
Er1 0.0493 0.4284 0.9010  7 S 2.69-2.97
Er2 0.1643 0.1643 0.0000  8 S 2.72-3.00
Er3 0.1784 0.2993 0.4010  7 S 2.69-2.97
Er4 0.2226 0.8216 0.1209  7 S 2.69-2.97
Er5 0.2575 0.1250 0.6325  6 S 2.74-2.94
Er6 0.3750 0.7425 0.8675  6 S 2.74-2.94
Er7 0.4925 0.6250 0.3675  6 S 2.74-2.94
Er8 0.5274 0.1483 0.0990  7 S 2.69-2.97
Er9 0.5716 0.4726 0.6209  7 S 2.69-2.97
Er10 0.5857 0.0857 0.5000  8 S 2.72-3.00
Er11 0.7007 0.1017 0.8791  7 S 2.69-2.97
Er12 0.8357 0.8357 0.0000  8 S 2.72-3.00
Er13 0.8517 0.9507 0.3791  7 S 2.69-2.97
Er14 0.8750 0.5075 0.1325  6 S 2.74-2.94
Er15 0.8983 0.7774 0.5990  7 S 2.69-2.97
Er16 0.9143 0.4143 0.5000  8 S 2.72-3.00
S1 0.0738 0.8275 0.6144  5 Er 2.70-2.97
S2 0.1725 0.7869 0.2463  5 Er 2.70-2.97
S3 0.1886 0.0922 0.7459  5 Er 2.69-3.00
S4 0.1927 0.5963 0.7541  5 Er 2.69-3.00
S5 0.2094 0.4631 0.8856  5 Er 2.70-2.97
S6 0.2131 0.4594 0.3856  5 Er 2.70-2.97
S7 0.2470 0.0013 0.1174  4 Er 2.72-2.92
S8 0.3463 0.4427 0.2541  5 Er 2.69-3.00
S9 0.4037 0.1578 0.5964  5 Er 2.69-3.00
S10 0.5030 0.1205 0.2544  4 Er 2.72-2.92
S11 0.5369 0.4225 0.7463  5 Er 2.70-2.97
S12 0.5406 0.9262 0.7537  5 Er 2.70-2.97
S13 0.5573 0.8114 0.9036  5 Er 2.69-3.00
S14 0.5614 0.8073 0.4036  5 Er 2.69-3.00
S15 0.5775 0.3238 0.1144  5 Er 2.70-2.97
S16 0.6762 0.7906 0.2537  5 Er 2.70-2.97
S17 0.7513 0.4970 0.6174  4 Er 2.72-2.92
S18 0.8422 0.4386 0.2459  5 Er 2.69-3.00
S19 0.8661 0.2487 0.7456  4 Er 2.72-2.92
S20 0.8705 0.7530 0.7544  4 Er 2.72-2.92
S21 0.8795 0.1339 0.3826  4 Er 2.72-2.92
S22 0.8839 0.1295 0.8826  4 Er 2.72-2.92
S23 0.9078 0.6537 0.0964  5 Er 2.69-3.00
S24 0.9987 0.1161 0.2456  4 Er 2.72-2.92

=====

Entry 9:
Below is a geometry-optimized Er4S3 structure, with properties calculated at the PBE level.

Summary:
The total moment is 0.0 μB per formula unit. The value obtained for the total energy is -6.04 eV per atom. As for the space group: R-3m, No. 166. The uncorrected formation energy comes out at -1663 meV/atom. The density of states at the Fermi level comes out at 2.6 states/eV/f.u.

Cell: 12.7726 12.7726 12.7726 Å, 17.07 17.07 17.07°
Closest atoms and distances in Å follow each position.
Fractional positions:
Er1 0.1218 0.1218 0.1218  6 S 2.68-2.77
Er2 0.3714 0.3714 0.3714  3 S 2.72
Er3 0.6286 0.6286 0.6286  3 S 2.72
Er4 0.8782 0.8782 0.8782  6 S 2.68-2.77
S1 0.2523 0.2523 0.2523  6 Er 2.68-2.72
S2 0.5000 0.5000 0.5000  6 Er 2.77
S3 0.7477 0.7477 0.7477  6 Er 2.68-2.72

=====

Entry 10:
Below is a geometry-optimized Er3S5 structure, with properties calculated at the PBE level.

Summary:
The total moment is 0.0 μB per formula unit. The value obtained for the total energy is -6.11 eV per atom. As for the space group: P6_3/mcm, No. 193. The uncorrected formation energy comes out at -1824 meV/atom. The density of states at the Fermi level comes out at 1.4 states/eV/f.u.

Cell: 8.2708 8.2708 5.4748 Å, 90.00 90.00 120.00°
Closest atoms and distances in Å follow each position.
Fractional positions:
Er1 0.0000 0.3639 0.2500  9 S 2.73-2.97
Er2 0.0000 0.6361 0.7500  9 S 2.73-2.97
Er3 0.3639 0.0000 0.2500  9 S 2.73-2.97
Er4 0.3639 0.3639 0.7500  9 S 2.73-2.97
Er5 0.6361 0.0000 0.7500  9 S 2.73-2.97
Er6 0.6361 0.6361 0.2500  9 S 2.73-2.97
S1 0.0000 0.2801 0.7500  5 Er 2.73-2.94
S2 0.0000 0.7199 0.2500  5 Er 2.73-2.94
S3 0.2801 0.0000 0.7500  5 Er 2.73-2.94
S4 0.2801 0.2801 0.2500  5 Er 2.73-2.94
S5 0.3333 0.6667 0.0000  2 S 2.74, 6 Er 2.97
S6 0.3333 0.6667 0.5000  2 S 2.74, 6 Er 2.97
S7 0.6667 0.3333 0.0000  2 S 2.74, 6 Er 2.97
S8 0.6667 0.3333 0.5000  2 S 2.74, 6 Er 2.97
S9 0.7199 0.0000 0.2500  5 Er 2.73-2.94
S10 0.7199 0.7199 0.7500  5 Er 2.73-2.94